Entry 1:
First-principles (GGA-PBE) data for a geometry-optimized U3Tl3SnTe8 structure, as listed in Alexandria.

a b c (Å): 9.612 9.612 9.612
angles (deg): 55.66 55.66 55.66
Element x y z (fractional)
U: 0.000 0.500 0.500
U: 0.500 0.000 0.500
U: 0.500 0.500 0.000
Tl: 0.000 0.000 0.500
Tl: 0.000 0.500 0.000
Tl: 0.500 0.000 0.000
Sn: 0.000 0.000 0.000
Te: 0.244 0.244 0.725
Te: 0.244 0.725 0.244
Te: 0.262 0.262 0.262
Te: 0.275 0.756 0.756
Te: 0.725 0.244 0.244
Te: 0.738 0.738 0.738
Te: 0.756 0.275 0.756
Te: 0.756 0.756 0.275

- total DFT energy (no corrections) (eV per atom) = -5.176
- density (g cm⁻³) = 7.25
- symmetry = R-3m (166)
- DOS(E_F) (states/eV/f.u.) = 14.46
- ΔE_f (raw) (eV/atom) = -0.50
- size of the total moment (μB/cell) = 7.00
- volume (Å³/cell) = 565

---

Entry 2:
First-principles (GGA-PBE) data for a geometry-optimized La12Y2Er structure, as listed in Alexandria.

a b c (Å): 6.640 6.640 25.863
angles (deg): 90.00 90.00 90.00
Element x y z (fractional)
La: 0.070 0.570 0.112
La: 0.070 0.930 0.888
La: 0.082 0.582 0.438
La: 0.082 0.918 0.562
La: 0.250 0.250 0.214
La: 0.250 0.250 0.337
La: 0.250 0.250 0.663
La: 0.250 0.250 0.786
La: 0.418 0.582 0.562
La: 0.418 0.918 0.438
La: 0.430 0.570 0.888
La: 0.430 0.930 0.112
La: 0.570 0.070 0.888
La: 0.570 0.430 0.112
La: 0.582 0.082 0.562
La: 0.582 0.418 0.438
La: 0.750 0.750 0.214
La: 0.750 0.750 0.337
La: 0.750 0.750 0.663
La: 0.750 0.750 0.786
La: 0.918 0.082 0.438
La: 0.918 0.418 0.562
La: 0.930 0.070 0.112
La: 0.930 0.430 0.888
Y: 0.250 0.750 0.272
Y: 0.250 0.750 0.728
Y: 0.750 0.250 0.272
Y: 0.750 0.250 0.728
Er: 0.250 0.750 0.000
Er: 0.750 0.250 0.000

- total DFT energy (no corrections) (eV per atom) = -4.807
- density (g cm⁻³) = 5.86
- symmetry = P4/nbm (125)
- DOS(E_F) (states/eV/f.u.) = 19.19
- size of the total moment (μB/cell) = 0.00
- volume (Å³/cell) = 1140

---

Entry 3:
First-principles (GGA-PBE) data for a geometry-optimized YHo3Mg8 structure, as listed in Alexandria.

a b c (Å): 6.057 6.057 9.744
angles (deg): 90.00 90.00 120.00
Element x y z (fractional)
Y: 0.000 0.000 0.000
Ho: 0.000 0.000 0.372
Ho: 0.667 0.333 0.499
Ho: 0.667 0.333 0.870
Mg: 0.163 0.325 0.685
Mg: 0.163 0.837 0.685
Mg: 0.333 0.667 0.436
Mg: 0.333 0.667 0.935
Mg: 0.504 0.009 0.186
Mg: 0.504 0.496 0.186
Mg: 0.675 0.837 0.685
Mg: 0.991 0.496 0.186

- total DFT energy (no corrections) (eV per atom) = -2.817
- density (g cm⁻³) = 4.17
- symmetry = P3m1 (156)
- DOS(E_F) (states/eV/f.u.) = 13.34
- size of the total moment (μB/cell) = 0.00
- volume (Å³/cell) = 310

---

> Which formula does entry 2 have?

La12Y2Er

---

Repeat the third record exactly.
First-principles (GGA-PBE) data for a geometry-optimized YHo3Mg8 structure, as listed in Alexandria.

a b c (Å): 6.057 6.057 9.744
angles (deg): 90.00 90.00 120.00
Element x y z (fractional)
Y: 0.000 0.000 0.000
Ho: 0.000 0.000 0.372
Ho: 0.667 0.333 0.499
Ho: 0.667 0.333 0.870
Mg: 0.163 0.325 0.685
Mg: 0.163 0.837 0.685
Mg: 0.333 0.667 0.436
Mg: 0.333 0.667 0.935
Mg: 0.504 0.009 0.186
Mg: 0.504 0.496 0.186
Mg: 0.675 0.837 0.685
Mg: 0.991 0.496 0.186

- total DFT energy (no corrections) (eV per atom) = -2.817
- density (g cm⁻³) = 4.17
- symmetry = P3m1 (156)
- DOS(E_F) (states/eV/f.u.) = 13.34
- size of the total moment (μB/cell) = 0.00
- volume (Å³/cell) = 310